Rb3UPa3Se8: optimized geometry, PBE-GGA.

Output
- Formation energy from raw total energies: -1310 meV per atom
- Space-group type: R-3m (166)

Cell: 9.588 9.588 9.588 Å, 51.27 51.27 51.27°
Atoms (fractional coordinates):
Rb 0.000 0.500 0.500
Rb 0.500 0.000 0.500
Rb 0.500 0.500 0.000
U 0.500 0.500 0.500
Pa 0.000 0.000 0.500
Pa 0.000 0.500 0.000
Pa 0.500 0.000 0.000
Se 0.229 0.734 0.734
Se 0.234 0.234 0.234
Se 0.266 0.266 0.771
Se 0.266 0.771 0.266
Se 0.734 0.229 0.734
Se 0.734 0.734 0.229
Se 0.766 0.766 0.766
Se 0.771 0.266 0.266

***

DyEr3Ga2: optimized geometry, PBE-GGA.

Output
- Space-group type: Pmc2_1 (26)
- Calculated formation energy: -432 meV per atom
- Polymorph energy (0 for the lowest one): 0.0000 eV per atom

Cell: 4.894 9.394 6.567 Å, 90.00 90.00 90.00°
Atoms (fractional coordinates):
Dy 0.000 0.049 0.000
Dy 0.000 0.951 0.500
Er 0.000 0.320 0.634
Er 0.000 0.680 0.134
Er 0.500 0.183 0.293
Er 0.500 0.450 0.927
Er 0.500 0.550 0.427
Er 0.500 0.817 0.793
Ga 0.000 0.361 0.174
Ga 0.000 0.639 0.674
Ga 0.500 0.139 0.752
Ga 0.500 0.861 0.252

***

HfMn8Nb3: optimized geometry, PBE-GGA.

Output
- Space-group type: P3m1 (156)
- Calculated formation energy: -172 meV per atom

Cell: 4.842 4.842 7.973 Å, 90.00 90.00 120.00°
Atoms (fractional coordinates):
Hf 0.000 0.000 0.000
Mn 0.163 0.325 0.685
Mn 0.163 0.837 0.685
Mn 0.333 0.667 0.439
Mn 0.333 0.667 0.937
Mn 0.505 0.009 0.189
Mn 0.505 0.495 0.189
Mn 0.675 0.837 0.685
Mn 0.991 0.495 0.189
Nb 0.000 0.000 0.375
Nb 0.667 0.333 0.500
Nb 0.667 0.333 0.871

***

ScIn3Os: optimized geometry, PBE-GGA.

Output
- Space-group type: Pm-3m (221)
- Calculated formation energy: 1663 meV per atom
- Polymorph energy (0 for the lowest one): 1.2540 eV per atom

Cell: 5.404 5.404 5.404 Å, 90.00 90.00 90.00°
Atoms (fractional coordinates):
Sc 0.000 0.000 0.000
In 0.000 0.000 0.500
In 0.000 0.500 0.000
In 0.500 0.000 0.000
Os 0.500 0.500 0.500

***

Number 1: V 33.01 Å³ per atom, electronic total energy -90.20 eV per cell. Number 2: V 25.16 Å³ per atom, electronic total energy -53.88 eV per cell. Number 3: V 13.49 Å³ per atom, electronic total energy -115.58 eV per cell. Number 4: V 31.56 Å³ per atom, electronic total energy -17.46 eV per cell.